Below is RbTeIrO6 after structural relaxation, with properties calculated at the GGA-PBE level.

Calculated volume: 17.4 A^3/atom
Space group: No. 149
Uncorrected formation energy: -1.06 eV/atom

The structure in POSCAR format:
```
RbTeIrO6
1.0
5.308 0.000 0.000
2.654 4.597 0.000
0.000 0.000 6.426
Rb Te Ir O
1 1 1 6
Direct
0.000 0.000 0.000
0.333 0.333 0.500
0.667 0.667 0.500
0.999 0.386 0.327
0.386 0.999 0.673
0.615 0.386 0.673
0.999 0.615 0.673
0.386 0.615 0.327
0.615 0.999 0.327
```